No. 1
# BaTa2TlSb PBE optimized geometry
# DFT total energy: -3.96 eV/atom
data_BaTa2TlSb
_chemical_formula_sum 'Ba1 Ta2 Tl1 Sb1'
_symmetry_space_group_name_H-M 'P 4/m m m'
_symmetry_Int_Tables_number 123
_symmetry_space_group_name_Hall '-P 4 2'
_cell_length_a 5.310
_cell_length_b 5.310
_cell_length_c 6.123
_cell_angle_alpha 90.00
_cell_angle_beta 90.00
_cell_angle_gamma 90.00
loop_
_atom_site_label
_atom_site_fract_x
_atom_site_fract_y
_atom_site_fract_z
_atom_site_occupancy
Ba1 0.000 0.000 0.000 1
Ta1 0.000 0.500 0.000 1
Tl1 0.500 0.500 0.500 1
Sb1 0.000 0.000 0.500 1



No. 2
# Ba5TbSb4 PBE optimized geometry
# DFT total energy: -3.94 eV/atom
data_Ba5TbSb4
_chemical_formula_sum 'Ba10 Tb2 Sb8'
_symmetry_space_group_name_H-M 'I m m m'
_symmetry_Int_Tables_number 71
_symmetry_space_group_name_Hall '-I 2 2'
_cell_length_a 4.952
_cell_length_b 9.110
_cell_length_c 20.353
_cell_angle_alpha 90.00
_cell_angle_beta 90.00
_cell_angle_gamma 90.00
loop_
_atom_site_label
_atom_site_fract_x
_atom_site_fract_y
_atom_site_fract_z
_atom_site_occupancy
Ba1 0.000 0.000 0.000 1
Ba2 0.000 0.250 0.335 1
Tb1 0.000 0.500 0.000 1
Sb1 0.000 0.226 0.500 1
Sb2 0.000 0.500 0.189 1



No. 3
# BaTcSb2 PBE optimized geometry
# DFT total energy: -5.16 eV/atom
data_BaTcSb2
_chemical_formula_sum 'Ba4 Tc4 Sb8'
_symmetry_space_group_name_H-M 'I -4 2 d'
_symmetry_Int_Tables_number 122
_symmetry_space_group_name_Hall 'I -4 2bw'
_cell_length_a 5.879
_cell_length_b 5.879
_cell_length_c 16.624
_cell_angle_alpha 90.00
_cell_angle_beta 90.00
_cell_angle_gamma 90.00
loop_
_atom_site_label
_atom_site_fract_x
_atom_site_fract_y
_atom_site_fract_z
_atom_site_occupancy
Ba1 0.000 0.000 0.000 1
Tc1 0.000 0.000 0.500 1
Sb1 0.060 0.250 0.625 1



No. 4
# BaTcSb2 PBE optimized geometry
# DFT total energy: -4.72 eV/atom
data_BaTcSb2
_chemical_formula_sum 'Ba2 Tc2 Sb4'
_symmetry_space_group_name_H-M 'I -4 m 2'
_symmetry_Int_Tables_number 119
_symmetry_space_group_name_Hall 'I -4 -2'
_cell_length_a 4.672
_cell_length_b 4.672
_cell_length_c 10.303
_cell_angle_alpha 90.00
_cell_angle_beta 90.00
_cell_angle_gamma 90.00
loop_
_atom_site_label
_atom_site_fract_x
_atom_site_fract_y
_atom_site_fract_z
_atom_site_occupancy
Ba1 0.000 0.000 0.000 1
Tc1 0.000 0.500 0.250 1
Sb1 0.000 0.000 0.500 1
Sb2 0.000 0.500 0.750 1



No. 5
# BaTc2Sb PBE optimized geometry
# DFT total energy: -5.68 eV/atom
data_BaTc2Sb
_chemical_formula_sum 'Ba2 Tc4 Sb2'
_symmetry_space_group_name_H-M 'I -4 m 2'
_symmetry_Int_Tables_number 119
_symmetry_space_group_name_Hall 'I -4 -2'
_cell_length_a 4.247
_cell_length_b 4.247
_cell_length_c 9.836
_cell_angle_alpha 90.00
_cell_angle_beta 90.00
_cell_angle_gamma 90.00
loop_
_atom_site_label
_atom_site_fract_x
_atom_site_fract_y
_atom_site_fract_z
_atom_site_occupancy
Ba1 0.000 0.000 0.000 1
Tc1 0.000 0.000 0.500 1
Tc2 0.000 0.500 0.250 1
Sb1 0.000 0.500 0.750 1



No. 6
# BaTc2Sb PBE optimized geometry
# DFT total energy: -5.77 eV/atom
data_BaTc2Sb
_chemical_formula_sum 'Ba2 Tc4 Sb2'
_symmetry_space_group_name_H-M 'C m m m'
_symmetry_Int_Tables_number 65
_symmetry_space_group_name_Hall '-C 2 2'
_cell_length_a 3.541
_cell_length_b 5.411
_cell_length_c 9.057
_cell_angle_alpha 90.00
_cell_angle_beta 90.00
_cell_angle_gamma 90.00
loop_
_atom_site_label
_atom_site_fract_x
_atom_site_fract_y
_atom_site_fract_z
_atom_site_occupancy
Ba1 0.000 0.000 0.000 1
Tc1 0.000 0.500 0.287 1
Sb1 0.000 0.000 0.500 1



No. 7
# BaTc2Sb PBE optimized geometry
# DFT total energy: -5.73 eV/atom
data_BaTc2Sb
_chemical_formula_sum 'Ba2 Tc4 Sb2'
_symmetry_space_group_name_H-M 'C 1 2/m 1'
_symmetry_Int_Tables_number 12
_symmetry_space_group_name_Hall '-C 2y'
_cell_length_a 6.614
_cell_length_b 9.259
_cell_length_c 3.166
_cell_angle_alpha 90.00
_cell_angle_beta 118.45
_cell_angle_gamma 90.00
loop_
_atom_site_label
_atom_site_fract_x
_atom_site_fract_y
_atom_site_fract_z
_atom_site_occupancy
Ba1 0.000 0.000 0.000 1
Tc1 0.250 0.250 0.500 1
Sb1 0.000 0.500 0.000 1



No. 8
# BaTcSb2 PBE optimized geometry
# DFT total energy: -5.23 eV/atom
data_BaTcSb2
_chemical_formula_sum 'Ba2 Tc2 Sb4'
_symmetry_space_group_name_H-M 'I m m 2'
_symmetry_Int_Tables_number 44
_symmetry_space_group_name_Hall 'I 2 -2'
_cell_length_a 3.461
_cell_length_b 3.813
_cell_length_c 16.695
_cell_angle_alpha 90.00
_cell_angle_beta 90.00
_cell_angle_gamma 90.00
loop_
_atom_site_label
_atom_site_fract_x
_atom_site_fract_y
_atom_site_fract_z
_atom_site_occupancy
Ba1 0.000 0.000 0.000 1
Tc1 0.000 0.500 0.262 1
Sb1 0.000 0.000 0.639 1
Sb2 0.000 0.500 0.828 1



No. 9
# BaTc2Sb PBE optimized geometry
# DFT total energy: -6.09 eV/atom
data_BaTc2Sb
_chemical_formula_sum 'Ba2 Tc4 Sb2'
_symmetry_space_group_name_H-M 'I m m 2'
_symmetry_Int_Tables_number 44
_symmetry_space_group_name_Hall 'I 2 -2'
_cell_length_a 3.320
_cell_length_b 5.730
_cell_length_c 10.487
_cell_angle_alpha 90.00
_cell_angle_beta 90.00
_cell_angle_gamma 90.00
loop_
_atom_site_label
_atom_site_fract_x
_atom_site_fract_y
_atom_site_fract_z
_atom_site_occupancy
Ba1 0.000 0.000 0.000 1
Tc1 0.000 0.000 0.525 1
Tc2 0.000 0.500 0.186 1
Sb1 0.000 0.500 0.792 1



No. 10
# BaTc2Sb PBE optimized geometry
# DFT total energy: -6.57 eV/atom
data_BaTc2Sb
_chemical_formula_sum 'Ba2 Tc4 Sb2'
_symmetry_space_group_name_H-M 'C 1 2/m 1'
_symmetry_Int_Tables_number 12
_symmetry_space_group_name_Hall '-C 2y'
_cell_length_a 8.121
_cell_length_b 4.580
_cell_length_c 6.612
_cell_angle_alpha 90.00
_cell_angle_beta 114.25
_cell_angle_gamma 90.00
loop_
_atom_site_label
_atom_site_fract_x
_atom_site_fract_y
_atom_site_fract_z
_atom_site_occupancy
Ba1 0.000 0.000 0.000 1
Tc1 0.181 0.000 0.527 1
Sb1 0.000 0.500 0.500 1



No. 11
# BaTcSb2 PBE optimized geometry
# DFT total energy: -4.92 eV/atom
data_BaTcSb2
_chemical_formula_sum 'Ba4 Tc4 Sb8'
_symmetry_space_group_name_H-M 'F m -3 m'
_symmetry_Int_Tables_number 225
_symmetry_space_group_name_Hall '-F 4 2 3'
_cell_length_a 7.379
_cell_length_b 7.379
_cell_length_c 7.379
_cell_angle_alpha 90.00
_cell_angle_beta 90.00
_cell_angle_gamma 90.00
loop_
_atom_site_label
_atom_site_fract_x
_atom_site_fract_y
_atom_site_fract_z
_atom_site_occupancy
Ba1 0.000 0.000 0.000 1
Tc1 0.000 0.000 0.500 1
Sb1 0.250 0.250 0.250 1



No. 12
# BaTc2Sb PBE optimized geometry
# DFT total energy: -5.79 eV/atom
data_BaTc2Sb
_chemical_formula_sum 'Ba2 Tc4 Sb2'
_symmetry_space_group_name_H-M 'I m m m'
_symmetry_Int_Tables_number 71
_symmetry_space_group_name_Hall '-I 2 2'
_cell_length_a 3.294
_cell_length_b 5.794
_cell_length_c 9.438
_cell_angle_alpha 90.00
_cell_angle_beta 90.00
_cell_angle_gamma 90.00
loop_
_atom_site_label
_atom_site_fract_x
_atom_site_fract_y
_atom_site_fract_z
_atom_site_occupancy
Ba1 0.000 0.000 0.000 1
Tc1 0.000 0.500 0.220 1
Sb1 0.000 0.000 0.500 1



No. 13
# BaTc2Sb PBE optimized geometry
# DFT total energy: -6.19 eV/atom
data_BaTc2Sb
_chemical_formula_sum 'Ba4 Tc8 Sb4'
_symmetry_space_group_name_H-M 'I -4 2 d'
_symmetry_Int_Tables_number 122
_symmetry_space_group_name_Hall 'I -4 2bw'
_cell_length_a 4.923
_cell_length_b 4.923
_cell_length_c 18.939
_cell_angle_alpha 90.00
_cell_angle_beta 90.00
_cell_angle_gamma 90.00
loop_
_atom_site_label
_atom_site_fract_x
_atom_site_fract_y
_atom_site_fract_z
_atom_site_occupancy
Ba1 0.000 0.000 0.000 1
Tc1 0.029 0.250 0.625 1
Sb1 0.000 0.000 0.500 1



No. 14
# BaTcSb3 PBE optimized geometry
# DFT total energy: -2.77 eV/atom
data_BaTcSb3
_chemical_formula_sum 'Ba1 Tc1 Sb3'
_symmetry_space_group_name_H-M 'P m -3 m'
_symmetry_Int_Tables_number 221
_symmetry_space_group_name_Hall '-P 4 2 3'
_cell_length_a 5.993
_cell_length_b 5.993
_cell_length_c 5.993
_cell_angle_alpha 90.00
_cell_angle_beta 90.00
_cell_angle_gamma 90.00
loop_
_atom_site_label
_atom_site_fract_x
_atom_site_fract_y
_atom_site_fract_z
_atom_site_occupancy
Ba1 0.000 0.000 0.000 1
Tc1 0.500 0.500 0.500 1
Sb1 0.000 0.000 0.500 1



No. 15
# BaTc2Sb PBE optimized geometry
# DFT total energy: -5.81 eV/atom
data_BaTc2Sb
_chemical_formula_sum 'Ba1 Tc2 Sb1'
_symmetry_space_group_name_H-M 'P 4/m m m'
_symmetry_Int_Tables_number 123
_symmetry_space_group_name_Hall '-P 4 2'
_cell_length_a 4.820
_cell_length_b 4.820
_cell_length_c 3.587
_cell_angle_alpha 90.00
_cell_angle_beta 90.00
_cell_angle_gamma 90.00
loop_
_atom_site_label
_atom_site_fract_x
_atom_site_fract_y
_atom_site_fract_z
_atom_site_occupancy
Ba1 0.000 0.000 0.000 1
Tc1 0.000 0.500 0.500 1
Sb1 0.500 0.500 0.000 1



Number 1: magnetization 0.81 μB per formula unit. Number 2: magnetization 1.02 μB per formula unit. Number 3: magnetization 1.00 μB per formula unit. Number 4: magnetization 2.88 μB per formula unit. Number 5: magnetization 3.03 μB per formula unit. Number 6: magnetization 0.00 μB per formula unit. Number 7: magnetization 0.00 μB per formula unit. Number 8: magnetization 0.00 μB per formula unit. Number 9: magnetization 0.00 μB per formula unit. Number 10: magnetization 0.00 μB per formula unit. Number 11: magnetization 0.00 μB per formula unit. Number 12: magnetization 0.00 μB per formula unit. Number 13: magnetization 0.00 μB per formula unit. Number 14: magnetization 0.00 μB per formula unit. Number 15: magnetization 1.99 μB per formula unit.